K2RbMnO4, relaxed, DFT PBE+U; E_tot = -5.236 eV/atom
1.0
0.000 4.610 3.761
4.590 0.000 3.761
4.590 4.610 0.000
K Rb Mn O
2 1 1 4
direct
0.000 0.000 0.500
0.500 0.500 0.000
0.251 0.251 0.749
0.751 0.751 0.249
0.036 0.726 0.964
0.467 0.776 0.224
0.726 0.036 0.274
0.776 0.467 0.533